[1]
# Dy3CoPd

Dy3CoPd after structural relaxation (GGA-PBE, Alexandria).

Cell: 5.8739 5.8739 8.2748 Å, 68.69 68.69 63.02°
Positions (direct):
Dy  0.3153  0.3153  0.8528
Dy  0.6847  0.6847  0.1472
Dy  0.0122  0.0122  0.7787
Dy  0.9878  0.9878  0.2213
Dy  0.7034  0.7034  0.6602
Dy  0.2966  0.2966  0.3398
Co  0.3142  0.6858  0.0000
Co  0.6858  0.3142  0.0000
Pd  0.7280  0.2720  0.5000
Pd  0.2720  0.7280  0.5000

Summary:
total magnetization: 0.0 μB per formula unit
polymorph energy (0 for the lowest one): 0.010 eV/atom
energy relative to the elements: -0.43 eV/atom
space group: C2/m (12)
V: 230 Å³/cell
DOS at the Fermi energy: 7.920 states/eV per cell


[2]
# Cs3Ce2O3F4

Cs3Ce2O3F4 after structural relaxation (GGA-PBE, Alexandria).

Cell: 4.8361 4.4302 12.6886 Å, 100.05 100.99 90.00°
Positions (direct):
Cs  0.5023  0.5000  0.0000
Cs  0.3138  0.3117  0.6233
Cs  0.6904  0.6883  0.3767
Ce  0.0925  0.0901  0.1802
Ce  0.9122  0.9099  0.8198
O  0.0023  0.0000  0.0000
O  0.0998  0.5974  0.1947
O  0.9050  0.4026  0.8053
F  0.4052  0.9028  0.8057
F  0.1914  0.1889  0.3778
F  0.8135  0.8111  0.6222
F  0.5995  0.0972  0.1943

Summary:
total magnetization: 1.0 μB per formula unit
total DFT energy (no corrections): -0.451 Ry per atom
space group: Immm (71)
V: 263 Å³/cell
DOS at the Fermi energy: 7.023 states/eV per cell


[3]
# Tb2PmEu

Tb2PmEu after structural relaxation (GGA-PBE, Alexandria).

Cell: 5.1307 5.1534 5.1534 Å, 90.00 90.00 90.00°
Positions (direct):
Eu  0.5000  0.5000  0.5000
Tb  0.0000  0.0000  0.5000
Tb  0.0000  0.5000  0.0000
Pm  0.5000  0.0000  0.0000

Summary:
total magnetization: 7.1 μB per formula unit
polymorph energy (0 for the lowest one): 0.023 eV/atom
energy relative to the elements: 0.08 eV/atom
space group: P4/mmm (123)
V: 136 Å³/cell
DOS at the Fermi energy: 5.942 states/eV per cell


[4]
# InGa2SeO

InGa2SeO after structural relaxation (GGA-PBE, Alexandria).

Cell: 5.4637 4.0111 5.4637 Å, 90.00 90.00 90.00°
Positions (direct):
O  0.0000  0.5000  0.0000
Ga  0.0000  0.0000  0.5000
Ga  0.5000  0.0000  0.0000
Se  0.5000  0.5000  0.5000
In  0.0000  0.0000  0.0000

Summary:
total magnetization: 0.0 μB per formula unit
total DFT energy (no corrections): -0.250 Ry per atom
space group: P4/mmm (123)
V: 120 Å³/cell
DOS at the Fermi energy: 4.306 states/eV per cell


[5]
# Ca2Cu2H7

Ca2Cu2H7 after structural relaxation (GGA-PBE, Alexandria).

Cell: 3.5526 5.7826 5.7826 Å, 105.00 98.35 98.35°
Positions (direct):
Ca  0.5000  0.2737  0.7263
Ca  0.5000  0.7263  0.2737
Cu  0.0665  0.7552  0.7552
Cu  0.9335  0.2448  0.2448
H  0.1269  0.5346  0.8660
H  0.8731  0.1340  0.4654
H  0.8731  0.4654  0.1340
H  0.1269  0.8660  0.5346
H  0.4156  0.3378  0.3378
H  0.0000  0.0000  0.0000
H  0.5844  0.6622  0.6622

Summary:
total magnetization: 0.0 μB per formula unit
total DFT energy (no corrections): -0.251 Ry per atom
space group: C2/m (12)
V: 111 Å³/cell
DOS at the Fermi energy: 0.412 states/eV per cell


[6]
# Ti2AlPt2

Ti2AlPt2 after structural relaxation (GGA-PBE, Alexandria).

Cell: 4.2409 5.0381 11.3776 Å, 49.47 79.26 65.11°
Positions (direct):
Ti  0.4088  0.0863  0.5962
Ti  0.0914  0.4137  0.9038
Ti  0.5912  0.9137  0.4038
Ti  0.9086  0.5863  0.0962
Al  0.2500  0.7500  0.2500
Al  0.7500  0.2500  0.7500
Pt  0.3782  0.8613  0.8823
Pt  0.8782  0.3613  0.3823
Pt  0.6218  0.1387  0.1177
Pt  0.1218  0.6387  0.6177

Summary:
total magnetization: 1.1 μB per formula unit
polymorph energy (0 for the lowest one): 0.029 eV/atom
energy relative to the elements: -0.80 eV/atom
space group: C2/m (12)
V: 166 Å³/cell
DOS at the Fermi energy: 7.296 states/eV per cell


[7]
# La5Sm2Sn5

La5Sm2Sn5 after structural relaxation (GGA-PBE, Alexandria).

Cell: 4.5554 7.9718 13.2105 Å, 109.17 90.00 106.60°
Positions (direct):
La  0.5000  0.0000  0.5000
La  0.6615  0.3231  0.0418
La  0.7282  0.4563  0.3441
La  0.2718  0.5437  0.6559
La  0.3385  0.6769  0.9582
Sm  0.0480  0.0960  0.7876
Sm  0.9520  0.9040  0.2124
Sn  0.1160  0.2320  0.4252
Sn  0.6913  0.3826  0.7928
Sn  0.3087  0.6174  0.2072
Sn  0.8840  0.7680  0.5748
Sn  0.0000  0.0000  0.0000

Summary:
total magnetization: 0.9 μB per formula unit
energy relative to the elements: -0.59 eV/atom
space group: C2/m (12)
V: 432 Å³/cell
DOS at the Fermi energy: 6.793 states/eV per cell


[8]
# Dy3Ho6In

Dy3Ho6In after structural relaxation (GGA-PBE, Alexandria).

Cell: 3.5243 12.7975 15.9372 Å, 121.35 90.00 90.00°
Positions (direct):
Dy  0.7500  0.3878  0.8971
Dy  0.2500  0.6122  0.1029
Dy  0.7500  0.6193  0.4966
Dy  0.2500  0.3807  0.5034
Dy  0.7500  0.1244  0.0923
Dy  0.2500  0.8756  0.9077
Ho  0.7500  0.5962  0.7108
Ho  0.2500  0.4038  0.2892
Ho  0.7500  0.8594  0.1067
Ho  0.2500  0.1406  0.8933
Ho  0.7500  0.3805  0.0989
Ho  0.2500  0.6195  0.9011
Ho  0.7500  0.6641  0.3079
Ho  0.2500  0.3359  0.6921
Ho  0.7500  0.1145  0.4774
Ho  0.2500  0.8855  0.5226
Ho  0.7500  0.8810  0.7166
Ho  0.2500  0.1190  0.2834
In  0.7500  0.1187  0.6962
In  0.2500  0.8813  0.3038

Summary:
total magnetization: 0.0 μB per formula unit
polymorph energy (0 for the lowest one): 0.040 eV/atom
energy relative to the elements: -0.03 eV/atom
space group: P2_1/m (11)
V: 614 Å³/cell
DOS at the Fermi energy: 28.296 states/eV per cell


[9]
# KLa2I8

KLa2I8 after structural relaxation (GGA-PBE, Alexandria).

Cell: 6.3191 9.3016 9.3016 Å, 114.56 90.11 90.11°
Positions (direct):
K  0.5000  0.0000  0.0000
La  0.0000  0.3038  0.6962
La  0.0000  0.6962  0.3038
I  0.9978  0.9417  0.6770
I  0.9978  0.6770  0.9417
I  0.2518  0.5011  0.5011
I  0.5000  0.7432  0.2568
I  0.5000  0.2568  0.7432
I  0.7482  0.4989  0.4989
I  0.0022  0.3230  0.0583
I  0.0022  0.0583  0.3230

Summary:
total magnetization: 0.0 μB per formula unit
total DFT energy (no corrections): -0.254 Ry per atom
space group: C2/m (12)
V: 497 Å³/cell
DOS at the Fermi energy: 1.951 states/eV per cell


[10]
# MnV3Se8

MnV3Se8 after structural relaxation (GGA-PBE, Alexandria).

Cell: 7.0816 7.0816 11.7520 Å, 90.00 90.00 120.00°
Positions (direct):
Mn  0.6667  0.3333  0.9780
Mn  0.3333  0.6667  0.4780
V  0.8153  0.6307  0.7108
V  0.3693  0.1847  0.7108
V  0.8153  0.1847  0.7108
V  0.1847  0.8153  0.2108
V  0.6307  0.8153  0.2108
V  0.1847  0.3693  0.2108
Se  0.8314  0.6628  0.1043
Se  0.5066  0.4934  0.8484
Se  0.6667  0.3333  0.5715
Se  0.0000  0.0000  0.8169
Se  0.0000  0.0000  0.3169
Se  0.3372  0.1686  0.1043
Se  0.9869  0.4934  0.8484
Se  0.5066  0.0131  0.8484
Se  0.1686  0.8314  0.6043
Se  0.8314  0.1686  0.1043
Se  0.4934  0.9869  0.3484
Se  0.0131  0.5066  0.3484
Se  0.3333  0.6667  0.0715
Se  0.6628  0.8314  0.6043
Se  0.4934  0.5066  0.3484
Se  0.1686  0.3372  0.6043

Summary:
total magnetization: 6.1 μB per formula unit
total DFT energy (no corrections): -0.437 Ry per atom
space group: P6_3mc (186)
V: 510 Å³/cell
DOS at the Fermi energy: 7.024 states/eV per cell


[11]
# InTcS

InTcS after structural relaxation (GGA-PBE, Alexandria).

Cell: 5.7761 3.1224 11.9242 Å, 90.00 91.24 90.00°
Positions (direct):
S  0.1694  0.0000  0.9393
S  0.1694  0.5000  0.4393
S  0.3272  0.0000  0.6736
S  0.3272  0.5000  0.1736
Tc  0.4527  0.0000  0.4878
Tc  0.4527  0.5000  0.9878
Tc  0.1185  0.0000  0.2768
Tc  0.1185  0.5000  0.7768
In  0.7007  0.0000  0.8283
In  0.7007  0.5000  0.3283
In  0.8185  0.0000  0.0897
In  0.8185  0.5000  0.5897

Summary:
total magnetization: 0.0 μB per formula unit
polymorph energy (0 for the lowest one): 0.144 eV/atom
space group: Cm (8)
V: 215 Å³/cell
DOS at the Fermi energy: 4.329 states/eV per cell


[12]
# KLi2Hf

KLi2Hf after structural relaxation (GGA-PBE, Alexandria).

Cell: 7.9800 7.9800 6.5810 Å, 52.68 52.68 90.00°
Positions (direct):
K  0.5000  0.5000  0.0000
K  0.2500  0.7500  0.5000
Hf  0.0000  0.0000  0.0000
Hf  0.7500  0.2500  0.5000
Li  0.6320  0.1250  0.2500
Li  0.1180  0.6250  0.2500
Li  0.3750  0.3680  0.7500
Li  0.8750  0.8820  0.7500

Summary:
total magnetization: 0.0 μB per formula unit
polymorph energy (0 for the lowest one): 0.084 eV/atom
energy relative to the elements: 1.00 eV/atom
space group: I-42d (122)
V: 216 Å³/cell
DOS at the Fermi energy: 6.887 states/eV per cell


[13]
# ZnIr2Os

ZnIr2Os after structural relaxation (GGA-PBE, Alexandria).

Cell: 4.6067 4.6067 2.7615 Å, 90.00 90.00 90.00°
Positions (direct):
Ir  0.0000  0.0000  0.0000
Ir  0.5000  0.5000  0.0000
Os  0.5000  0.0000  0.5000
Zn  0.0000  0.5000  0.5000

Summary:
total magnetization: 0.0 μB per formula unit
energy relative to the elements: 0.24 eV/atom
space group: P4/mmm (123)
V: 59 Å³/cell
DOS at the Fermi energy: 4.937 states/eV per cell


[14]
# Be2SnPPt

Be2SnPPt after structural relaxation (GGA-PBE, Alexandria).

Cell: 3.9513 5.7818 3.9513 Å, 90.00 90.00 90.00°
Positions (direct):
P  0.0000  0.0000  0.0000
Sn  0.0000  0.5000  0.0000
Pt  0.5000  0.5000  0.5000
Be  0.0000  0.0000  0.5000
Be  0.5000  0.0000  0.0000

Summary:
total magnetization: 0.0 μB per formula unit
energy relative to the elements: 0.37 eV/atom
space group: P4/mmm (123)
V: 90 Å³/cell
DOS at the Fermi energy: 1.479 states/eV per cell


[15]
# NaTl3As

NaTl3As after structural relaxation (GGA-PBE, Alexandria).

Cell: 5.5122 5.5122 5.5122 Å, 90.00 90.00 90.00°
Positions (direct):
Na  0.0000  0.0000  0.0000
Tl  0.0000  0.5000  0.0000
Tl  0.0000  0.0000  0.5000
Tl  0.5000  0.0000  0.0000
As  0.5000  0.5000  0.5000

Summary:
total magnetization: 0.0 μB per formula unit
polymorph energy (0 for the lowest one): 0.614 eV/atom
energy relative to the elements: 0.52 eV/atom
space group: Pm-3m (221)
V: 167 Å³/cell
DOS at the Fermi energy: 3.586 states/eV per cell


[16]
# CaAlCu2Au4

CaAlCu2Au4 after structural relaxation (GGA-PBE, Alexandria).

Cell: 4.6204 4.6204 8.0151 Å, 73.25 73.25 60.00°
Positions (direct):
Ca  0.0000  0.0000  0.0000
Al  0.5000  0.5000  0.5000
Cu  0.7435  0.7435  0.7696
Cu  0.2565  0.2565  0.2304
Au  0.3882  0.3882  0.8355
Au  0.8647  0.8647  0.4058
Au  0.1353  0.1353  0.5942
Au  0.6118  0.6118  0.1645

Summary:
total magnetization: 0.0 μB per formula unit
energy relative to the elements: -0.31 eV/atom
space group: R-3m (166)
V: 140 Å³/cell
DOS at the Fermi energy: 2.600 states/eV per cell


[17]
# Ag2GePb

Ag2GePb after structural relaxation (GGA-PBE, Alexandria).

Cell: 4.1267 4.5587 4.5587 Å, 90.00 90.00 90.00°
Positions (direct):
Pb  0.5000  0.5000  0.5000
Ge  0.5000  0.0000  0.0000
Ag  0.0000  0.0000  0.5000
Ag  0.0000  0.5000  0.0000

Summary:
total magnetization: 0.0 μB per formula unit
polymorph energy (0 for the lowest one): 0.029 eV/atom
energy relative to the elements: 0.19 eV/atom
space group: P4/mmm (123)
V: 86 Å³/cell
DOS at the Fermi energy: 1.372 states/eV per cell


[18]
# La4AlTc

La4AlTc after structural relaxation (GGA-PBE, Alexandria).

Cell: 6.3613 8.0601 8.0601 Å, 112.29 100.15 100.15°
Positions (direct):
La  0.8880  0.6264  0.7859
La  0.0469  0.9453  0.2778
La  0.6120  0.2141  0.3736
La  0.4531  0.7222  0.0547
La  0.5469  0.2778  0.9453
La  0.3880  0.7859  0.6264
La  0.9531  0.0547  0.7222
La  0.1120  0.3736  0.2141
Al  0.7500  0.6231  0.3769
Al  0.2500  0.3769  0.6231
Tc  0.2500  0.0022  0.9978
Tc  0.7500  0.9978  0.0022

Summary:
total magnetization: 0.0 μB per formula unit
polymorph energy (0 for the lowest one): 0.000 eV/atom
energy relative to the elements: -0.15 eV/atom
space group: C2/c (15)
V: 363 Å³/cell
DOS at the Fermi energy: 14.028 states/eV per cell


[19]
# Li2NpGeSe4

Li2NpGeSe4 after structural relaxation (GGA-PBE, Alexandria).

Cell: 4.0502 6.7494 7.0722 Å, 70.22 90.00 90.00°
Positions (direct):
Li  0.0000  0.0000  0.0000
Li  0.5000  0.0000  0.5000
Np  0.0000  0.5000  0.5000
Ge  0.5000  0.5000  0.0000
Se  0.0000  0.7458  0.7469
Se  0.0000  0.2542  0.2531
Se  0.5000  0.7511  0.2483
Se  0.5000  0.2489  0.7517

Summary:
total magnetization: 3.0 μB per formula unit
total DFT energy (no corrections): -0.392 Ry per atom
space group: P2/m (10)
V: 182 Å³/cell
DOS at the Fermi energy: 8.542 states/eV per cell


[20]
# HoPuSn

HoPuSn after structural relaxation (GGA-PBE, Alexandria).

Cell: 5.4421 5.4421 6.2771 Å, 90.00 90.00 120.00°
Positions (direct):
Ho  0.3332  0.1668  0.7500
Ho  0.6668  0.8332  0.2500
Pu  0.0000  0.5000  0.0000
Pu  0.0000  0.5000  0.5000
Sn  0.6666  0.8334  0.7500
Sn  0.3334  0.1666  0.2500

Summary:
total magnetization: 6.6 μB per formula unit
polymorph energy (0 for the lowest one): 0.000 eV/atom
energy relative to the elements: -0.47 eV/atom
space group: P6_3/mmc (194)
V: 161 Å³/cell
DOS at the Fermi energy: 14.209 states/eV per cell